# 1
DFT (PBE) results for a relaxed structure of Tb5Zn2Ga2.

```
Tb5Zn2Ga2
1.0
-0.624 6.154 -3.474
1.260 -3.851 -7.048
-8.418 0.721 2.790
Tb Ga Zn
10 4 4
Direct
0.836 0.830 0.287 Tb
0.664 0.043 0.713 Tb
0.336 0.670 0.713 Tb
0.664 0.330 0.287 Tb
0.336 0.957 0.287 Tb
0.164 0.170 0.713 Tb
0.836 0.543 0.713 Tb
0.164 0.457 0.287 Tb
0.500 0.500 0.000 Tb
0.000 0.000 0.000 Tb
0.000 0.208 0.416 Ga
0.500 0.292 0.584 Ga
0.000 0.792 0.584 Ga
0.500 0.708 0.416 Ga
0.610 0.872 0.000 Zn
0.110 0.628 0.000 Zn
0.890 0.372 0.000 Zn
0.390 0.128 0.000 Zn
```

Properties
**V**: 25.36 Å³ per atom
**Formation energy**: -0.3561 eV per atom

# 2
DFT (PBE) results for a relaxed structure of Tb2Zn3Ga.

```
Tb2Zn3Ga
1.0
5.658 0.791 0.000
0.441 5.696 0.000
-3.050 -3.244 7.719
Ga Tb Zn
2 4 6
Direct
0.666 0.666 0.331 Ga
0.334 0.334 0.669 Ga
0.750 0.250 0.500 Tb
0.250 0.750 0.500 Tb
0.755 0.245 0.000 Tb
0.245 0.755 0.000 Tb
0.334 0.334 0.166 Zn
0.168 0.168 0.834 Zn
0.832 0.832 0.166 Zn
0.167 0.167 0.333 Zn
0.666 0.666 0.834 Zn
0.833 0.833 0.667 Zn
```

Properties
**V**: 20.51 Å³ per atom
**Polymorph energy (0 for the lowest one)**: 0 meV per atom
**Formation energy**: -0.4732 eV per atom

Number 1: density 7.7 g/cm3. Number 2: density 7.9 g/cm3.